Record 1
Computed, not measured: an optimized crystal structure of MgZn at the PBE level of DFT.

Results
Its formation energy is 0.551 eV/atom.

Unit cell a=6.222 b=6.222 c=6.222 alpha=90.00 beta=90.00 gamma=90.00
Space group F-43m (No. 216)
Inequivalent atoms, fractional coordinates:
Mg (0.000, 0.000, 0.000) [4 per cell]
Zn (0.250, 0.250, 0.750) [4 per cell]

=====

Record 2
Computed, not measured: an optimized crystal structure of MgZn at the PBE level of DFT.

Results
Its formation energy is -0.076 eV/atom.

Unit cell a=3.105 b=3.105 c=3.748 alpha=90.00 beta=90.00 gamma=90.00
Space group P4/mmm (No. 123)
Inequivalent atoms, fractional coordinates:
Mg (0.000, 0.000, 0.000) [1 per cell]
Zn (0.500, 0.500, 0.500) [1 per cell]